The following is a DFT calculation (PBE+U) of crystalline Rb3V2CdO8 at its relaxed geometry.

Unit cell a=6.0931 b=6.0931 c=7.9687 alpha=90.00 beta=90.00 gamma=120.00
Fractional positions:
Rb (0.0000, 0.0000, 0.0000)
Rb (0.3333, 0.6667, 0.6877)
Rb (0.6667, 0.3333, 0.3123)
V (0.3333, 0.6667, 0.2522)
V (0.6667, 0.3333, 0.7478)
Cd (0.0000, 0.0000, 0.5000)
O (0.1764, 0.3529, 0.3244)
O (0.1764, 0.8236, 0.3244)
O (0.3333, 0.6667, 0.0369)
O (0.3529, 0.1764, 0.6756)
O (0.6471, 0.8236, 0.3244)
O (0.6667, 0.3333, 0.9631)
O (0.8236, 0.1764, 0.6756)
O (0.8236, 0.6471, 0.6756)

Output
**Symmetry**: P-3m1, No. 164
**E_tot**: -0.2168 hartree per atom